## KSr2Cu (GGA-PBEsol)

Data for a relaxed KSr2Cu crystal.

Summary:
energy of formation: 0.077 eV per atom
calculated volume: 182.2 Å³/cell
E_tot: -8.8 eV/cell
excess energy over the best structure of this formula in the dataset: 0.0000 eV per atom

The structure in POSCAR format:
```
KSr2Cu
1.0
4.408 0.000 0.000
-2.204 3.824 -0.049
0.000 -2.364 10.842
Sr K Cu
2 1 1
Direct
0.783 0.567 0.848
0.217 0.433 0.152
0.000 0.000 0.500
0.500 0.000 0.000
```

## KBe2Cr (GGA-PBEsol)

Data for a relaxed KBe2Cr crystal.

Summary:
energy of formation: 1.411 eV per atom
calculated volume: 69.2 Å³/cell
E_tot: -13.7 eV/cell
excess energy over the best structure of this formula in the dataset: 0.2387 eV per atom

The structure in POSCAR format:
```
KBe2Cr
1.0
4.608 0.000 0.000
2.304 3.991 0.000
2.304 1.330 3.763
Cr K Be
1 1 2
Direct
0.500 0.500 0.500
0.000 0.000 0.000
0.250 0.250 0.250
0.750 0.750 0.750
```

## ZnAsAu2 (GGA-PBEsol)

Data for a relaxed ZnAsAu2 crystal.

Summary:
energy of formation: 0.142 eV per atom
calculated volume: 67.3 Å³/cell
E_tot: -14.0 eV/cell
excess energy over the best structure of this formula in the dataset: 0.1377 eV per atom

The structure in POSCAR format:
```
ZnAsAu2
1.0
-3.706 -2.401 1.160
0.230 -4.549 0.304
-0.219 -2.029 4.084
As Au Zn
1 2 1
Direct
0.000 0.000 0.000
0.250 0.250 0.250
0.750 0.750 0.750
0.500 0.500 0.500
```

## OsWSe2Br (GGA-PBEsol)

Data for a relaxed OsWSe2Br crystal.

Summary:
calculated volume: 112.3 Å³/cell
E_tot: -27.6 eV/cell
uncorrected formation energy: 1.59 eV per atom

The structure in POSCAR format:
```
OsWSe2Br
1.0
4.781 0.000 0.000
0.000 4.781 0.000
0.000 0.000 4.913
Se Os Br W
2 1 1 1
Direct
0.000 0.500 0.000
0.500 0.000 0.000
0.000 0.000 0.000
0.000 0.000 0.500
0.500 0.500 0.500
```

## NiP2Cl (GGA-PBEsol)

Data for a relaxed NiP2Cl crystal.

Summary:
calculated volume: 67.3 Å³/cell
E_tot: -18.5 eV/cell
excess energy over the best structure of this formula in the dataset: 0.0000 eV per atom
uncorrected formation energy: 0.32 eV per atom

The structure in POSCAR format:
```
NiP2Cl
1.0
-1.565 0.693 -2.740
-2.824 -0.268 1.546
0.208 6.275 1.468
Cl Ni P
1 1 2
Direct
0.500 0.500 0.500
0.000 0.000 0.500
0.000 0.500 0.000
0.500 0.000 0.000
```

## AlAuN3 (GGA-PBEsol)

Data for a relaxed AlAuN3 crystal.

Summary:
calculated volume: 63.4 Å³/cell
E_tot: -23.4 eV/cell
uncorrected formation energy: 2.03 eV per atom

The structure in POSCAR format:
```
AlAuN3
1.0
-1.949 -3.427 0.599
3.477 -1.939 0.224
0.098 0.632 3.936
Au Al N
1 1 3
Direct
0.000 0.000 0.000
0.500 0.500 0.500
0.000 0.500 0.000
0.000 0.000 0.500
0.500 0.000 0.000
```